Compound: Ce4Tl2Pb3
Source: Alexandria
Functional: GGA-PBE
Structure: relaxed

a b c (Å): 6.7473 10.8791 8.5147
angles (deg): 90.00 113.34 90.00
Each line ends with the local moment (μB).
Fractional positions:
Ce 0.7093 0.7500 0.9185  1.04
Ce 0.7907 0.2500 0.0815  1.04
Ce 0.2907 0.2500 0.0815  1.04
Ce 0.2093 0.7500 0.9185  1.04
Ce 0.2016 0.9984 0.4031  0.72
Ce 0.7984 0.0016 0.5969  0.72
Ce 0.2984 0.4984 0.5969  0.72
Ce 0.7016 0.5016 0.4031  0.72
Tl 0.0953 0.5489 0.1907  0.00
Tl 0.9047 0.4511 0.8093  0.00
Tl 0.4047 0.0489 0.8093  0.00
Tl 0.5953 0.9511 0.1907  0.00
Pb 0.0000 0.0000 0.0000  -0.03
Pb 0.5000 0.5000 0.0000  -0.03
Pb 0.4889 0.7500 0.4778  -0.01
Pb 0.0111 0.2500 0.5222  -0.01
Pb 0.5111 0.2500 0.5222  -0.01
Pb 0.9889 0.7500 0.4778  -0.01

E, eV per atom: -4.527
Energy of formation, meV/atom: -128